Record 1
Mg3Tl4 GGA-PBE relaxed; E above lowest polymorph = 0.033 eV/atom
1.0
6.021 0.000 0.000
-3.010 5.214 0.000
0.000 0.000 6.106
Mg Tl
3 4
Direct
0.000 0.500 0.000
0.500 0.500 0.000
0.500 0.000 0.000
0.000 0.000 0.253
0.000 0.000 0.747
0.667 0.333 0.500
0.333 0.667 0.500



Record 2
Ba2SrCu GGA-PBE relaxed; E above lowest polymorph = 0.045 eV/atom
1.0
4.587 0.000 0.000
2.294 3.973 0.000
2.294 1.324 11.135
Ba Sr Cu
2 1 1
Direct
0.055 0.055 0.835
0.278 0.278 0.165
0.500 0.500 0.499
0.667 0.667 0.000



Record 3
BaTa2Pt GGA-PBE relaxed; E above lowest polymorph = 0.269 eV/atom
1.0
-3.435 5.201 -2.005
-3.531 0.218 -5.510
1.439 -2.266 5.972
Ba Pt Ta
1 1 2
Direct
0.750 0.250 0.500
0.250 0.750 0.500
0.041 0.041 0.000
0.459 0.459 0.000



Record 4
V7ZnGa3 GGA-PBE relaxed; energy = -6.660 eV/atom
1.0
-1.209 -1.621 -1.594
7.423 -6.197 2.751
-7.036 -4.174 9.580
V Zn Ga
14 2 6
Direct
0.387 0.775 0.750
0.613 0.225 0.250
0.535 0.071 0.415
0.465 0.929 0.585
0.465 0.929 0.915
0.535 0.071 0.085
0.408 0.817 0.404
0.592 0.183 0.596
0.280 0.560 0.412
0.720 0.440 0.588
0.720 0.440 0.912
0.280 0.560 0.088
0.408 0.817 0.096
0.592 0.183 0.904
0.984 0.968 0.250
0.016 0.032 0.750
0.152 0.305 0.430
0.848 0.695 0.570
0.162 0.324 0.750
0.838 0.676 0.250
0.152 0.305 0.070
0.848 0.695 0.930